Entry 1:
VASP calculation (PBE-GGA) on La7Cd2Ga2 after structural relaxation.

a b c (Å): 6.8949 6.8949 7.9677
angles (deg): 90.00 90.00 108.34
Closest atoms and distances in Å follow each position.
Atoms (fractional coordinates):
La 0.0000 0.0000 0.0000  2 Cd 3.35
La 0.0000 0.5000 0.3091  1 La 3.04, 2 Cd 3.23, 2 Ga 3.27
La 0.0000 0.5000 0.6909  1 La 3.04, 2 Cd 3.23, 2 Ga 3.27
La 0.5000 0.0000 0.3091  1 La 3.04, 2 Cd 3.23, 2 Ga 3.27
La 0.5000 0.0000 0.6909  1 La 3.04, 2 Cd 3.23, 2 Ga 3.27
La 0.5000 0.5000 0.3009  5 La 3.17-3.45, 2 Ga 3.20, 2 Cd 3.28
La 0.5000 0.5000 0.6991  5 La 3.17-3.45, 2 Ga 3.20, 2 Cd 3.28
Cd 0.2995 0.7005 0.0000  7 La 3.23-3.35
Cd 0.7005 0.2995 0.0000  7 La 3.23-3.35
Ga 0.1556 0.1556 0.5000  1 Ga 2.51
Ga 0.8444 0.8444 0.5000  1 Ga 2.51

Output
space-group type = Cmmm
raw total energy = -3.9521 eV per atom
formation energy = -100 meV per atom
calculated volume = 32.68 Å³ per atom

=====

Entry 2:
VASP calculation (PBE-GGA) on La4Cd2Ga after structural relaxation.

a b c (Å): 9.2843 9.2843 9.2843
angles (deg): 34.09 34.09 34.09
Closest atoms and distances in Å follow each position.
Atoms (fractional coordinates):
La 0.1218 0.1218 0.1218  4 Cd 3.29-3.31, 3 Ga 3.35
La 0.3741 0.3741 0.3741  1 Ga 3.30, 4 Cd 3.30-3.35
La 0.6259 0.6259 0.6259  1 Ga 3.30, 4 Cd 3.30-3.35
La 0.8782 0.8782 0.8782  4 Cd 3.29-3.31, 3 Ga 3.35
Cd 0.2481 0.2481 0.2481  8 La 3.29-3.35
Cd 0.7519 0.7519 0.7519  8 La 3.29-3.35
Ga 0.5000 0.5000 0.5000  8 La 3.30-3.35

Output
space-group type = R-3m
raw total energy = -3.7528 eV per atom
formation energy = -243 meV per atom
calculated volume = 32.02 Å³ per atom

=====

Entry 3:
VASP calculation (PBE-GGA) on La3CdGa after structural relaxation.

a b c (Å): 9.8539 9.8539 7.2780
angles (deg): 90.00 90.00 120.60
Closest atoms and distances in Å follow each position.
Atoms (fractional coordinates):
La 0.0963 0.7984 0.0000  2 Ga 3.17, 2 La 3.34-3.47, 2 Cd 3.41
La 0.1922 0.3075 0.5000  4 Ga 3.20, 2 La 3.34-3.38
La 0.2016 0.9037 0.5000  2 Ga 3.17, 2 La 3.34-3.47, 2 Cd 3.41
La 0.2947 0.5909 0.0000  2 Ga 3.17, 2 La 3.38-3.47, 2 Cd 3.39
La 0.3075 0.1922 0.0000  4 Ga 3.20, 2 La 3.34-3.38
La 0.4091 0.7053 0.5000  2 Ga 3.17, 2 La 3.38-3.47, 2 Cd 3.39
La 0.5909 0.2947 0.5000  2 Ga 3.17, 2 La 3.38-3.47, 2 Cd 3.39
La 0.6925 0.8078 0.0000  4 Ga 3.20, 2 La 3.34-3.38
La 0.7053 0.4091 0.0000  2 Ga 3.17, 2 La 3.38-3.47, 2 Cd 3.39
La 0.7984 0.0963 0.5000  2 Ga 3.17, 2 La 3.34-3.47, 2 Cd 3.41
La 0.8078 0.6925 0.5000  4 Ga 3.20, 2 La 3.34-3.38
La 0.9037 0.2016 0.0000  2 Ga 3.17, 2 La 3.34-3.47, 2 Cd 3.41
Cd 0.0000 0.5000 0.3052  1 Cd 2.84
Cd 0.0000 0.5000 0.6948  1 Cd 2.84
Cd 0.5000 0.0000 0.1948  1 Cd 2.84
Cd 0.5000 0.0000 0.8052  1 Cd 2.84
Ga 0.0000 0.0000 0.2500  8 La 3.17-3.20
Ga 0.0000 0.0000 0.7500  8 La 3.17-3.20
Ga 0.5000 0.5000 0.2500  8 La 3.17-3.20
Ga 0.5000 0.5000 0.7500  8 La 3.17-3.20

Output
space-group type = Cccm
raw total energy = -4.0934 eV per atom
formation energy = -349 meV per atom
relative energy among the computed polymorphs = 0.0 meV/atom
calculated volume = 30.41 Å³ per atom

=====

Entry 4:
VASP calculation (PBE-GGA) on La3Cd3Ga8 after structural relaxation.

a b c (Å): 8.8604 8.8604 8.8604
angles (deg): 150.78 112.93 74.79
Closest atoms and distances in Å follow each position.
Atoms (fractional coordinates):
La 0.0000 0.0000 0.0000  12 Ga 3.43-3.45, 4 Cd 3.61
La 0.3036 0.3036 0.0000  10 Ga 3.20-3.44, 4 Cd 3.45-3.56
La 0.6964 0.6964 0.0000  10 Ga 3.20-3.44, 4 Cd 3.45-3.56
Cd 0.2893 0.5000 0.7893  6 Ga 2.77-3.09, 2 Cd 3.04
Cd 0.5000 0.0000 0.5000  4 Cd 3.04, 4 Ga 3.06
Cd 0.7107 0.5000 0.2107  6 Ga 2.77-3.09, 2 Cd 3.04
Ga 0.0316 0.6628 0.3687  4 Ga 2.57-2.78, 1 Cd 2.77
Ga 0.1238 0.8490 0.2747  3 Ga 2.64-2.78
Ga 0.2941 0.6628 0.6313  4 Ga 2.57-2.78, 1 Cd 2.77
Ga 0.4257 0.1510 0.2747  3 Ga 2.64-2.78
Ga 0.5743 0.8490 0.7253  3 Ga 2.64-2.78
Ga 0.7059 0.3372 0.3687  4 Ga 2.57-2.78, 1 Cd 2.77
Ga 0.8762 0.1510 0.7253  3 Ga 2.64-2.78
Ga 0.9684 0.3372 0.6313  4 Ga 2.57-2.78, 1 Cd 2.77

Output
space-group type = Immm
raw total energy = -3.4537 eV per atom
formation energy = -472 meV per atom
calculated volume = 22.00 Å³ per atom